VASP calculation (GGA-PBEsol) on an optimized crystal structure of K2Si2Pb.

Summary:
- E_form (uncorrected): 0.26 eV per atom
- Total moment: 0.00 μB per atom

Cell lengths 4.6494, 4.6494, 13.5618 Å; angles 90.00, 90.00, 90.00 degrees
Closest atoms and distances in Å follow each position.
Space group I4/mmm (No. 139)
Symmetry-distinct sites (fractional):
K (0.0000, 0.5000, 0.2500) (multiplicity 4)  4 Si 3.27, 4 K 3.29
Si (0.0000, 0.0000, 0.0802) (multiplicity 4)  1 Si 2.17
Pb (0.0000, 0.0000, 0.5000) (multiplicity 2)  8 Si 3.46